DFT (SCAN) results for a PBEsol-optimized structure of Sr2BeSi.

a b c (Å): 4.0640 4.5531 6.3790
angles (deg): 110.91 90.00 90.00
Last column: nearest neighbours and their distance in Å.
Fractional positions:
Sr  0.5000  0.2695  0.5390  2 Si 3.23, 4 Be 3.30
Be  0.0000  0.6651  0.3302  2 Si 2.28
Si  0.5000  0.5775  0.1550  2 Be 2.28
Sr  0.0000  0.9883  0.9766  2 Be 3.10, 4 Si 3.23

energy above the lowest structure with this stoichiometry = 0 meV/atom
D(E_F) = 2.01 states/eV/cell
space group = No. 38
E_form (uncorrected) = -14.4 kJ/mol of atoms
spin magnetization = 0.00 μB per cell

=====

DFT (SCAN) results for a PBEsol-optimized structure of SrBeSi2.

a b c (Å): 3.7348 4.1075 5.8638
angles (deg): 105.65 90.00 117.04
Last column: nearest neighbours and their distance in Å.
Fractional positions:
Si  0.2281  0.4562  0.1244  3 Be 2.32-2.46, 2 Si 2.45
Sr  0.0000  0.0000  0.5000  6 Si 3.11-3.14, 4 Be 3.48
Be  0.5000  0.0000  0.0000  6 Si 2.32-2.46
Si  0.7719  0.5438  0.8756  3 Be 2.32-2.46, 2 Si 2.45

D(E_F) = 0.95 states/eV/cell
space group = No. 12
E_form (uncorrected) = -10.8 kJ/mol of atoms
spin magnetization = 0.00 μB per cell